No. 1
# CsNb3Cd

Crystalline CsNb3Cd at its relaxed geometry (PBE, the Alexandria database).

- DOS at the Fermi energy: 1.9944 states/eV per atom
- Energy relative to the lowest polymorph listed for this composition: 0.0 meV/atom
- ΔE_f: 2.190 eV per atom
- Volume: 148.7 Å³/cell
- Total magnetic moment: 3.7 μB per cell

Cell lengths 5.297, 5.297, 5.297 Å; angles 90.00, 90.00, 90.00 degrees
Site moments in Bohr magnetons follow the coordinates.
Fractional positions:
Cs1 0.500 0.500 0.500  0.08
Nb1 0.000 0.500 0.000  0.82
Nb2 0.000 0.000 0.500  1.00
Nb3 0.500 0.000 0.000  0.93
Cd1 0.000 0.000 0.000  0.06

***

No. 2
# CsNb2Cd

Crystalline CsNb2Cd at its relaxed geometry (PBE, the Alexandria database).

- DOS at the Fermi energy: 1.1284 states/eV per atom
- ΔE_f: 1.355 eV per atom
- Volume: 242.2 Å³/cell
- Total magnetic moment: 0.0 μB per cell

Cell lengths 4.641, 4.641, 11.712 Å; angles 78.57, 78.57, 90.00 degrees
Fractional positions:
Cs1 0.000 0.000 0.000
Cs2 0.750 0.250 0.500
Nb1 0.479 0.125 0.250
Nb2 0.271 0.625 0.250
Nb3 0.375 0.521 0.750
Nb4 0.875 0.729 0.750
Cd1 0.500 0.500 0.000
Cd2 0.250 0.750 0.500

***

No. 3
# CsNb2CdO6

Crystalline CsNb2CdO6 at its relaxed geometry (PBE, the Alexandria database).

- DOS at the Fermi energy: 0.2572 states/eV per atom
- E_form (uncorrected): -2.04 eV/atom
- Volume: 449.5 Å³/cell
- Total magnetic moment: 0.0 μB per cell

Cell lengths 6.769, 8.382, 8.382 Å; angles 90.25, 76.66, 76.66 degrees
Fractional positions:
Cs1 0.250 0.887 0.113
Cs2 0.750 0.113 0.887
Nb1 0.309 0.783 0.631
Nb2 0.191 0.369 0.217
Nb3 0.691 0.217 0.369
Nb4 0.809 0.631 0.783
Cd1 0.250 0.261 0.739
Cd2 0.750 0.739 0.261
O1 0.220 0.984 0.745
O2 0.280 0.255 0.016
O3 0.780 0.016 0.255
O4 0.720 0.745 0.984
O5 0.409 0.811 0.413
O6 0.091 0.587 0.189
O7 0.591 0.189 0.587
O8 0.909 0.413 0.811
O9 0.057 0.698 0.664
O10 0.443 0.336 0.302
O11 0.943 0.302 0.336
O12 0.557 0.664 0.698

***

No. 4
# CsNbCd2Pb

Crystalline CsNbCd2Pb at its relaxed geometry (PBE, the Alexandria database).

- DOS at the Fermi energy: 0.8856 states/eV per atom
- ΔE_f: 1.046 eV per atom
- Volume: 189.0 Å³/cell
- Total magnetic moment: 2.1 μB per cell

Cell lengths 5.622, 5.622, 5.979 Å; angles 90.00, 90.00, 90.00 degrees
Site moments in Bohr magnetons follow the coordinates.
Fractional positions:
Pb1 0.500 0.500 0.500  -0.28
Cs1 0.000 0.000 0.500  0.05
Nb1 0.000 0.000 0.000  2.14
Cd1 0.000 0.500 0.000  0.03
Cd2 0.500 0.000 0.000  0.03